This record from Alexandria describes Pa2Tc2C3 after structural relaxation. The functional is PBE.

abc: 3.2040 5.6229 6.1951
angles: 111.99 104.99 90.00
Fractional positions:
Pa 0.6023 0.8112 0.2046
Pa 0.3977 0.1888 0.7954
Tc 0.8425 0.6631 0.6850
Tc 0.1575 0.3369 0.3150
C 0.0000 0.0000 0.0000
C 0.7510 0.2524 0.5019
C 0.2490 0.7476 0.4981

space group: C2/m
volume: 14.20 Å³ per atom
density: 11.60 Mg/m³
calculated formation energy: -0.344 eV per atom
magnetization: 0.0 μB per cell

---

This record from Alexandria describes EuGdNi after structural relaxation. The functional is PBE.

abc: 3.9897 3.9897 6.5327
angles: 90.00 90.00 120.00
Fractional positions:
Eu 0.0000 0.0000 0.9132
Ni 0.6667 0.3333 0.6506
Gd 0.3333 0.6667 0.4362

space group: P3m1
volume: 30.02 Å³ per atom
density: 6.78 Mg/m³
distance to the lowest polymorph of the same formula: 0 meV/atom
calculated formation energy: -0.100 eV per atom
magnetization: 0.0 μB per cell

---

This record from Alexandria describes YHoPdRu after structural relaxation. The functional is PBE.

abc: 4.8731 4.8731 4.8731
angles: 60.00 60.00 60.00
Fractional positions:
Y 0.7500 0.7500 0.7500
Ru 0.5000 0.5000 0.5000
Ho 0.2500 0.2500 0.2500
Pd 0.0000 0.0000 0.0000

space group: F-43m
volume: 20.46 Å³ per atom
density: 9.36 Mg/m³
distance to the lowest polymorph of the same formula: 35 meV/atom
calculated formation energy: -0.644 eV per atom
magnetization: 0.0 μB per cell

---

This record from Alexandria describes SrSc3Bi after structural relaxation. The functional is PBE.

abc: 5.3207 5.3207 5.3207
angles: 90.00 90.00 90.00
Fractional positions:
Sc 0.0000 0.5000 0.0000
Sc 0.0000 0.0000 0.5000
Sc 0.5000 0.0000 0.0000
Sr 0.0000 0.0000 0.0000
Bi 0.5000 0.5000 0.5000

space group: Pm-3m
volume: 30.13 Å³ per atom
density: 4.76 Mg/m³
distance to the lowest polymorph of the same formula: 887 meV/atom
calculated formation energy: 1.137 eV per atom
magnetization: 0.0 μB per cell

---

This record from Alexandria describes DyCdAgSn after structural relaxation. The functional is PBE.

abc: 4.3680 4.4719 4.7660
angles: 90.00 90.00 90.00
Fractional positions:
Dy 0.0000 0.5000 0.5000
Cd 0.0000 0.0000 0.0000
Ag 0.5000 0.5000 0.0000
Sn 0.5000 0.0000 0.5000

space group: Pmmm
volume: 23.27 Å³ per atom
density: 8.95 Mg/m³
distance to the lowest polymorph of the same formula: 0 meV/atom
calculated formation energy: -0.372 eV per atom
magnetization: 0.0 μB per cell

---

This record from Alexandria describes HfMgScNb after structural relaxation. The functional is PBE.

abc: 4.8980 4.8980 4.8980
angles: 60.00 60.00 60.00
Fractional positions:
Sc 0.0000 0.0000 0.0000
Nb 0.7500 0.7500 0.7500
Hf 0.5000 0.5000 0.5000
Mg 0.2500 0.2500 0.2500

space group: F-43m
volume: 20.77 Å³ per atom
density: 6.81 Mg/m³
calculated formation energy: 0.175 eV per atom
magnetization: 0.6 μB per cell

---

This record from Alexandria describes CeTm14Th after structural relaxation. The functional is PBE.

abc: 7.0213 7.0213 11.3176
angles: 90.00 90.00 119.76
Fractional positions:
Ce 0.2080 0.7920 0.5000
Tm 0.0410 0.9590 0.0000
Tm 0.5419 0.4581 0.0000
Tm 0.2083 0.2919 0.5000
Tm 0.0426 0.4570 0.0000
Tm 0.7081 0.7917 0.5000
Tm 0.5430 0.9574 0.0000
Tm 0.3760 0.1235 0.7521
Tm 0.3760 0.1235 0.2479
Tm 0.8765 0.6240 0.7521
Tm 0.8765 0.6240 0.2479
Tm 0.3751 0.6249 0.7522
Tm 0.3751 0.6249 0.2478
Tm 0.8732 0.1268 0.7510
Tm 0.8732 0.1268 0.2490
Th 0.7053 0.2947 0.5000

space group: Amm2
volume: 30.27 Å³ per atom
density: 9.38 Mg/m³
calculated formation energy: 0.030 eV per atom
magnetization: 0.6 μB per cell

---

This record from Alexandria describes Tb3NdTl3 after structural relaxation. The functional is PBE.

abc: 9.4376 9.4376 9.4376
angles: 90.00 90.00 90.00
Fractional positions:
Tb 0.8218 0.3218 0.1782
Tb 0.9219 0.9219 0.9219
Tb 0.8213 0.6787 0.3213
Tb 0.1782 0.8218 0.3218
Tb 0.1787 0.1787 0.1787
Tb 0.3213 0.8213 0.6787
Tb 0.0781 0.4219 0.5781
Tb 0.3218 0.1782 0.8218
Tb 0.6787 0.3213 0.8213
Tb 0.6782 0.6782 0.6782
Tb 0.5781 0.0781 0.4219
Tb 0.4219 0.5781 0.0781
Nd 0.0721 0.5721 0.9279
Nd 0.9279 0.0721 0.5721
Nd 0.4279 0.4279 0.4279
Nd 0.5721 0.9279 0.0721
Tl 0.7443 0.6182 0.0004
Tl 0.8818 0.9996 0.2443
Tl 0.0004 0.7443 0.6182
Tl 0.1182 0.4996 0.2557
Tl 0.2557 0.1182 0.4996
Tl 0.2443 0.8818 0.9996
Tl 0.9996 0.2443 0.8818
Tl 0.3818 0.5004 0.7557
Tl 0.4996 0.2557 0.1182
Tl 0.6182 0.0004 0.7443
Tl 0.7557 0.3818 0.5004
Tl 0.5004 0.7557 0.3818

space group: P2_13
volume: 30.02 Å³ per atom
density: 9.75 Mg/m³
distance to the lowest polymorph of the same formula: 0 meV/atom
calculated formation energy: -0.264 eV per atom
magnetization: 0.0 μB per cell